Computed, not measured: a relaxed structure of GaFeAs2O6 at the PBE with a Hubbard U level of DFT.

extended XYZ file:
```
20
Lattice="-2.887 3.863 -2.288 -1.181 -2.129 -6.744 -6.209 -3.029 -1.917" Properties=species:S:1:pos:R:3 pbc="T T T"
Ga -4.995 -1.717 -4.347
Ga -5.282 0.422 -6.601
Fe -2.575 -1.284 -6.670
Fe -7.701 -0.011 -4.279
As -5.602 -2.690 -7.918
As -1.679 -0.258 -3.377
As -4.674 1.395 -3.031
As -8.597 -1.037 -7.572
O -5.219 -1.862 -2.320
O -7.019 -1.974 -4.217
O -5.058 0.567 -8.628
O -3.258 0.679 -6.732
O -4.850 -1.513 -6.439
O -2.898 -1.519 -4.407
O -5.427 0.218 -4.509
O -7.378 0.224 -6.541
O -7.898 -0.324 -9.170
O -2.956 1.116 -3.753
O -2.379 -0.971 -1.778
O -7.320 -2.411 -7.195
```

Output
Crystal system ... monoclinic
Total magnetization ... 3.84 μB/f.u.
Space group ... C2/c, No. 15
VASP energy ... -6.0044 eV per atom